# 1
Density functional theory data (PBE) for a geometry-optimized Tl2Hg2BiPb2 structure.

Results
Total magnetic moment: 0.000 μB per formula unit
Symmetry: C2/m (12)
Raw total energy: -16.50 eV per cell
Energy of formation from the pure elements: 0.019 eV/atom

```
Tl2Hg2BiPb2
1.0
5.9541 -2.7661 0.0000
5.9541 2.7661 0.0000
-0.5386 0.0000 6.3009
Tl Hg Bi Pb
2 2 1 2
Direct
0.1966 0.1966 0.3774
0.8034 0.8034 0.6226
0.0731 0.0731 0.8037
0.9269 0.9269 0.1963
0.5000 0.5000 0.5000
0.3541 0.3541 0.9461
0.6459 0.6459 0.0539
```

# 2
Density functional theory data (PBE) for a geometry-optimized CaLa2MgH structure.

Results
Total magnetic moment: 0.000 μB per formula unit
Excess energy over the best structure of this formula in the dataset: 0.000 eV/atom
Symmetry: P4/mmm (123)
Raw total energy: -17.56 eV per cell

```
CaLa2MgH
1.0
5.1129 0.0000 0.0000
0.0000 5.1129 0.0000
0.0000 0.0000 5.2259
Ca La Mg H
1 2 1 1
Direct
0.0000 0.0000 0.0000
0.0000 0.5000 0.5000
0.5000 0.0000 0.5000
0.5000 0.5000 0.0000
0.0000 0.0000 0.5000
```

# 3
Density functional theory data (PBE) for a geometry-optimized Nd8C3Cl4O structure.

Results
Total magnetic moment: 0.000 μB per formula unit
Raw formation energy: -1305 meV/atom
Symmetry: R-3m (166)
Raw total energy: -99.04 eV per cell

```
Nd8C3Cl4O
1.0
3.7543 2.1675 7.1054
-3.7543 2.1675 7.1054
0.0000 -4.3351 7.1054
Nd C Cl O
8 3 4 1
Direct
0.2289 0.7305 0.7305
0.2310 0.2310 0.2310
0.2695 0.2695 0.7711
0.2695 0.7711 0.2695
0.7305 0.2289 0.7305
0.7305 0.7305 0.2289
0.7690 0.7690 0.7690
0.7711 0.2695 0.2695
0.0000 0.0000 0.5000
0.0000 0.5000 0.0000
0.5000 0.0000 0.0000
0.0000 0.0000 0.0000
0.0000 0.5000 0.5000
0.5000 0.0000 0.5000
0.5000 0.5000 0.0000
0.5000 0.5000 0.5000
```

# 4
Density functional theory data (PBE) for a geometry-optimized InC5 structure.

Results
Total magnetic moment: 0.157 μB per formula unit
Excess energy over the best structure of this formula in the dataset: 0.193 eV/atom
Symmetry: Amm2 (38)
Raw total energy: -40.68 eV per cell
Energy of formation from the pure elements: 1.363 eV/atom

```
InC5
1.0
2.5646 0.0000 0.0000
0.0000 2.8144 5.5836
0.0000 -2.8144 5.5836
In C
1 5
Direct
0.0000 0.0000 0.0000
0.0000 0.2121 0.2121
0.0000 0.6753 0.6753
0.5000 0.2732 0.2732
0.5000 0.3987 0.3987
0.5000 0.6730 0.6730
```

# 5
Density functional theory data (PBE) for a geometry-optimized Tc2SN structure.

Results
Total magnetic moment: 0.000 μB per formula unit
Raw formation energy: -13 meV/atom
Excess energy over the best structure of this formula in the dataset: 0.000 eV/atom
Symmetry: I-42d (122)
Raw total energy: -66.48 eV per cell

```
Tc2SN
1.0
-2.5212 2.5212 4.6050
2.5212 -2.5212 4.6050
2.5212 2.5212 -4.6050
Tc S N
4 2 2
Direct
0.0739 0.6250 0.9489
0.3750 0.3239 0.4489
0.6761 0.1250 0.0511
0.8750 0.9261 0.5511
0.2500 0.7500 0.5000
0.5000 0.5000 0.0000
0.0000 0.0000 0.0000
0.7500 0.2500 0.5000
```

# 6
Density functional theory data (PBE) for a geometry-optimized BaCrBr2 structure.

Results
Total magnetic moment: 5.934 μB per formula unit
Raw formation energy: -711 meV/atom
Excess energy over the best structure of this formula in the dataset: 0.087 eV/atom
Symmetry: P4mm (99)
Raw total energy: -17.74 eV per cell

```
BaCrBr2
1.0
4.3881 0.0000 0.0000
0.0000 4.3881 0.0000
0.0000 0.0000 6.6942
Ba Cr Br
1 1 2
Direct
0.0000 0.0000 0.0000
0.5000 0.5000 0.6347
0.0000 0.0000 0.5244
0.5000 0.5000 0.2003
```

# 7
Density functional theory data (PBE) for a geometry-optimized Ac2TbPd9 structure.

Results
Total magnetic moment: 0.000 μB per formula unit
Excess energy over the best structure of this formula in the dataset: 0.094 eV/atom
Symmetry: R-3m (166)
Raw total energy: -67.63 eV per cell
Energy of formation from the pure elements: -0.670 eV/atom

```
Ac2TbPd9
1.0
2.7334 1.5781 9.2405
-2.7334 1.5781 9.2405
0.0000 -3.1562 9.2405
Ac Tb Pd
2 1 9
Direct
0.1362 0.1362 0.1362
0.8638 0.8638 0.8638
0.0000 0.0000 0.0000
0.0809 0.5828 0.5828
0.3330 0.3330 0.3330
0.4172 0.4172 0.9191
0.4172 0.9191 0.4172
0.5000 0.5000 0.5000
0.5828 0.0809 0.5828
0.5828 0.5828 0.0809
0.6670 0.6670 0.6670
0.9191 0.4172 0.4172
```

# 8
Density functional theory data (PBE) for a geometry-optimized NaIn2IrO8 structure.

Results
Total magnetic moment: 0.001 μB per formula unit
Raw formation energy: -884 meV/atom
Symmetry: P2/m (10)
Raw total energy: -65.93 eV per cell

```
NaIn2IrO8
1.0
4.2682 0.0000 0.0000
0.0000 6.7484 0.0000
-0.0886 0.0000 5.1753
Na In Ir O
1 2 1 8
Direct
0.0000 0.0000 0.0000
0.5000 0.2620 0.5000
0.5000 0.7380 0.5000
0.0000 0.5000 0.0000
0.1586 0.0000 0.5673
0.2299 0.5000 0.6763
0.2572 0.2915 0.1351
0.2572 0.7085 0.1351
0.7428 0.2915 0.8649
0.7428 0.7085 0.8649
0.7701 0.5000 0.3237
0.8414 0.0000 0.4327
```